Entry 1:
The following is a DFT calculation (GGA-PBE) of HfCoAgB after structural relaxation.

Values from the calculation:
For the calculated volume, the calculation gives 55.3 Å³ per cell.

```
data_HfCoAgB
_symmetry_space_group_name_H-M 'P 1'
_symmetry_Int_Tables_number 1
_cell_length_a 4.277
_cell_length_b 4.277
_cell_length_c 4.277
_cell_angle_alpha 60.00
_cell_angle_beta 60.00
_cell_angle_gamma 60.00
loop_
_symmetry_equiv_pos_as_xyz
'x,y,z'
loop_
_atom_site_label
_atom_site_type_symbol
_atom_site_fract_x
_atom_site_fract_y
_atom_site_fract_z
Hf1 Hf 0.000 0.000 0.000
Co1 Co 0.750 0.750 0.750
Ag1 Ag 0.250 0.250 0.250
B1 B 0.500 0.500 0.500
```

Entry 2:
The following is a DFT calculation (GGA-PBE) of HfCoAgB after structural relaxation.

Values from the calculation:
For the calculated volume, the calculation gives 55.2 Å³ per cell.

```
data_HfCoAgB
_symmetry_space_group_name_H-M 'P 1'
_symmetry_Int_Tables_number 1
_cell_length_a 4.274
_cell_length_b 4.274
_cell_length_c 4.274
_cell_angle_alpha 60.00
_cell_angle_beta 60.00
_cell_angle_gamma 60.00
loop_
_symmetry_equiv_pos_as_xyz
'x,y,z'
loop_
_atom_site_label
_atom_site_type_symbol
_atom_site_fract_x
_atom_site_fract_y
_atom_site_fract_z
Hf1 Hf 0.000 0.000 0.000
Co1 Co 0.500 0.500 0.500
Ag1 Ag 0.750 0.750 0.750
B1 B 0.250 0.250 0.250
```

Entry 3:
The following is a DFT calculation (GGA-PBE) of CoAgHgB after structural relaxation.

Values from the calculation:
For the calculated volume, the calculation gives 58.6 Å³ per cell.

```
data_CoAgHgB
_symmetry_space_group_name_H-M 'P 1'
_symmetry_Int_Tables_number 1
_cell_length_a 4.359
_cell_length_b 4.359
_cell_length_c 4.359
_cell_angle_alpha 60.00
_cell_angle_beta 60.00
_cell_angle_gamma 60.00
loop_
_symmetry_equiv_pos_as_xyz
'x,y,z'
loop_
_atom_site_label
_atom_site_type_symbol
_atom_site_fract_x
_atom_site_fract_y
_atom_site_fract_z
Co1 Co 0.000 0.000 0.000
Ag1 Ag 0.250 0.250 0.250
Hg1 Hg 0.500 0.500 0.500
B1 B 0.750 0.750 0.750
```

Entry 4:
The following is a DFT calculation (GGA-PBE) of CoAgHgB after structural relaxation.

Values from the calculation:
For the calculated volume, the calculation gives 58.4 Å³ per cell.

```
data_CoAgHgB
_symmetry_space_group_name_H-M 'P 1'
_symmetry_Int_Tables_number 1
_cell_length_a 4.356
_cell_length_b 4.356
_cell_length_c 4.356
_cell_angle_alpha 60.00
_cell_angle_beta 60.00
_cell_angle_gamma 60.00
loop_
_symmetry_equiv_pos_as_xyz
'x,y,z'
loop_
_atom_site_label
_atom_site_type_symbol
_atom_site_fract_x
_atom_site_fract_y
_atom_site_fract_z
Co1 Co 0.000 0.000 0.000
Ag1 Ag 0.500 0.500 0.500
Hg1 Hg 0.250 0.250 0.250
B1 B 0.750 0.750 0.750
```

Number 1: relative energy among the computed polymorphs 118 meV/atom, DFT total energy -6.11 eV per atom. Number 2: relative energy among the computed polymorphs 0 meV/atom, DFT total energy -6.23 eV per atom. Number 3: relative energy among the computed polymorphs 43 meV/atom, DFT total energy -3.13 eV per atom. Number 4: relative energy among the computed polymorphs 0 meV/atom, DFT total energy -3.18 eV per atom.